{
  "formula": "Ba6GeAu2Br3",
  "functional": "PBE",
  "state": "relaxed",
  "cell": [[10.734, -2.385, 0.000], [10.734, 2.385, 0.000], [-2.954, 0.000, 9.522]],
  "species": ["Ba", "Ba", "Ba", "Ba", "Ba", "Ba", "Ge", "Au", "Au", "Br", "Br", "Br"],
  "frac_coords": [[0.004, 0.004, 0.230], [0.328, 0.328, 0.433], [0.342, 0.342, 0.906], [0.658, 0.658, 0.094], [0.672, 0.672, 0.567], [0.996, 0.996, 0.770], [0.500, 0.500, 0.000], [0.169, 0.169, 0.334], [0.831, 0.831, 0.666], [0.165, 0.165, 0.836], [0.500, 0.500, 0.500], [0.835, 0.835, 0.164]],
  "sg": "C2/m, No. 12",
  "raw_formation_energy_mev_per_atom": -1170
}